The following is a DFT calculation (SCAN) of Li2CoP2O7 at its PBEsol-relaxed geometry.

Properties
Density of states at the Fermi level: 0.00 states/eV per cell
Relative energy among the computed polymorphs: 49.5 meV per atom
Uncorrected formation energy: -2.297 eV/atom

a b c (Å): 8.8216 4.7278 12.3059
angles (deg): 90.00 99.51 90.00
Closest atoms and distances in Å follow each position.
Space group Cc (No. 9)
One atom of each set of equivalent atoms:
Li (0.0000, 0.1946, 0.0000) (multiplicity 4)  3 O 1.90-2.02
Li (0.2158, 0.2616, 0.6801) (multiplicity 4)  3 O 2.03-2.12
Co (0.1352, 0.2409, 0.3883) (multiplicity 4)  4 O 1.94-2.17
P (0.3352, 0.2263, 0.0310) (multiplicity 4)  4 O 1.51-1.65
P (0.4359, 0.1936, 0.2677) (multiplicity 4)  4 O 1.52-1.64
O (0.0635, 0.4888, 0.2474) (multiplicity 4)  1 P 1.54
O (0.2083, 0.0116, 0.0425) (multiplicity 4)  1 P 1.54
O (0.2824, 0.4873, 0.9647) (multiplicity 4)  1 P 1.51
O (0.2906, 0.0476, 0.2908) (multiplicity 4)  1 P 1.52
O (0.3864, 0.3727, 0.1532) (multiplicity 4)  2 P 1.64-1.65
O (0.4807, 0.0940, 0.0014) (multiplicity 4)  1 P 1.52
O (0.4971, 0.4233, 0.3494) (multiplicity 4)  1 P 1.52